1.
First-principles (PBE) data for a relaxed structure of ScReAu2, as listed in the Alexandria database.

Cell: 4.1471 4.1471 4.0342 Å, 90.00 90.00 90.00°
Closest atoms and distances in Å follow each position.
Sites, in units of the cell vectors:
Sc (0.0000, 0.0000, 0.0000)  8 Au 2.89, 4 Re 2.93
Re (0.5000, 0.5000, 0.0000)  8 Au 2.89, 4 Sc 2.93
Au (0.0000, 0.5000, 0.5000)  4 Re 2.89, 4 Sc 2.89, 4 Au 2.93
Au (0.5000, 0.0000, 0.5000)  4 Re 2.89, 4 Sc 2.89, 4 Au 2.93

Values from the calculation:
For the density of states at the Fermi level, the calculation gives 3.40 states/eV per cell. Its relative energy among the computed polymorphs is 0.000 eV/f.u. Its energy of formation from the pure elements is -0.05 eV per atom. Its space group is P4/mmm.

2.
First-principles (PBE) data for a relaxed structure of MgTl2I8, as listed in the Alexandria database.

Cell: 8.5073 8.5073 9.3699 Å, 114.41 114.41 67.56°
Closest atoms and distances in Å follow each position.
Sites, in units of the cell vectors:
Mg (0.0000, 0.0000, 0.0000)  2 I 2.76
Tl (0.1795, 0.1795, 0.7269)  1 I 3.24
Tl (0.8205, 0.8205, 0.2731)  1 I 3.24
I (0.1343, 0.7559, 0.6944)  1 I 2.94, 1 Mg 3.13
I (0.2196, 0.2196, 0.0989)  1 Mg 2.76
I (0.2441, 0.8657, 0.3056)  1 I 2.94, 1 Mg 3.13
I (0.4461, 0.4461, 0.7095)  2 I 2.94
I (0.5539, 0.5539, 0.2905)  2 I 2.94
I (0.7559, 0.1343, 0.6944)  1 I 2.94, 1 Mg 3.13
I (0.7804, 0.7804, 0.9011)  1 Mg 2.76
I (0.8657, 0.2441, 0.3056)  1 I 2.94, 1 Mg 3.13

Values from the calculation:
As for the formation energy without anion corrections: -456 meV/atom. Its space group is C2/m.

3.
First-principles (PBE) data for a relaxed structure of Ac5CdRu2, as listed in the Alexandria database.

Cell: 9.5191 9.5191 9.5191 Å, 127.74 127.74 77.05°
Closest atoms and distances in Å follow each position.
Sites, in units of the cell vectors:
Ac (0.0000, 0.0000, 0.0000)  4 Ru 3.23
Ac (0.0307, 0.5307, 0.8193)  3 Ru 3.04-3.18
Ac (0.2113, 0.0307, 0.5000)  3 Ru 3.04-3.18
Ac (0.2887, 0.7887, 0.8193)  3 Ru 3.04-3.18
Ac (0.4693, 0.2887, 0.5000)  3 Ru 3.04-3.18
Ac (0.5000, 0.5000, 0.0000)  4 Ru 3.23
Ac (0.5307, 0.7113, 0.5000)  3 Ru 3.04-3.18
Ac (0.7113, 0.2113, 0.1807)  3 Ru 3.04-3.18
Ac (0.7887, 0.9693, 0.5000)  3 Ru 3.04-3.18
Ac (0.9693, 0.4693, 0.1807)  3 Ru 3.04-3.18
Cd (0.2500, 0.2500, 0.0000)  10 Ac 3.63-3.72
Cd (0.7500, 0.7500, 0.0000)  10 Ac 3.63-3.72
Ru (0.1422, 0.3578, 0.5000)  8 Ac 3.04-3.23, 1 Ru 3.37
Ru (0.3578, 0.8578, 0.2157)  8 Ac 3.04-3.23, 1 Ru 3.37
Ru (0.6422, 0.1422, 0.7843)  8 Ac 3.04-3.23, 1 Ru 3.37
Ru (0.8578, 0.6422, 0.5000)  8 Ac 3.04-3.23, 1 Ru 3.37

Values from the calculation:
For the density of states at the Fermi level, the calculation gives 13.50 states/eV per cell. Its energy of formation from the pure elements is -0.22 eV per atom. Its space group is I4/mcm.

4.
First-principles (PBE) data for a relaxed structure of CaTcW2, as listed in the Alexandria database.

Cell: 9.3985 9.3985 9.3985 Å, 150.41 150.41 42.34°
Closest atoms and distances in Å follow each position.
Sites, in units of the cell vectors:
Ca (0.0000, 0.0000, 0.0000)  4 W 3.26, 4 Tc 3.39
Ca (0.7500, 0.2500, 0.5000)  4 W 3.26, 4 Tc 3.39
Tc (0.2500, 0.7500, 0.5000)  4 W 2.52
Tc (0.5000, 0.5000, 0.0000)  4 W 2.52
W (0.3128, 0.6250, 0.1878)  2 W 2.47, 2 Tc 2.52
W (0.3750, 0.5628, 0.6878)  2 W 2.47, 2 Tc 2.52
W (0.4372, 0.1250, 0.8122)  2 W 2.47, 2 Tc 2.52
W (0.8750, 0.6872, 0.3122)  2 W 2.47, 2 Tc 2.52

Values from the calculation:
For the density of states at the Fermi level, the calculation gives 8.86 states/eV per cell. Its relative energy among the computed polymorphs is 3.711 eV/f.u. Its energy of formation from the pure elements is 1.42 eV per atom. Its space group is I-42d.

The records above yield uncorrected energy values of -25.5 -23.7 -83.5 -65.2 eV for the cell shown, respectively.
The records above yield M_tot values of 0.00 0.00 0.00 0.00 μB/cell, respectively.